Record 1
A plane-wave DFT calculation with PBE was carried out for a relaxed structure of Ba2ZrSb2.

POSCAR file:
```
Ba2ZrSb2
1.0
8.190 0.000 0.000
0.000 8.190 0.000
0.000 0.000 5.198
Ba Zr Sb
4 2 4
Direct
0.153 0.347 0.000
0.347 0.847 0.000
0.653 0.153 0.000
0.847 0.653 0.000
0.000 0.000 0.500
0.500 0.500 0.500
0.161 0.661 0.500
0.339 0.161 0.500
0.661 0.839 0.500
0.839 0.339 0.500
```

Density of states at the Fermi level in states/eV/f.u.: 1.374
E in eV per atom: -4.735
Space group: No. 127
ΔE_f (raw) in meV/atom: -607
Crystal system: tetragonal



Record 2
A plane-wave DFT calculation with PBE was carried out for a relaxed structure of BaSc4.

POSCAR file:
```
BaSc4
1.0
-3.410 3.410 3.410
3.410 -3.410 3.410
3.410 3.410 -3.410
Ba Sc
1 4
Direct
0.000 0.000 0.000
0.000 0.000 0.500
0.000 0.500 0.000
0.500 0.000 0.000
0.500 0.500 0.500
```

Density of states at the Fermi level in states/eV/f.u.: 10.691
E in eV per atom: -4.234
Space group: No. 229
Formation enthalpy at 0 K in eV per atom: 1.216
Energy above the lowest structure with this stoichiometry in eV/f.u.: 4.90
Crystal system: cubic



Record 3
A plane-wave DFT calculation with PBE was carried out for a relaxed structure of BaSc2.

POSCAR file:
```
BaSc2
1.0
7.195 0.000 0.000
0.000 5.151 0.000
0.000 0.000 10.560
Ba Sc
4 8
Direct
0.140 0.250 0.087
0.360 0.750 0.587
0.640 0.250 0.413
0.860 0.750 0.913
0.112 0.250 0.422
0.112 0.250 0.735
0.388 0.750 0.235
0.388 0.750 0.922
0.612 0.250 0.078
0.612 0.250 0.765
0.888 0.750 0.265
0.888 0.750 0.578
```

Density of states at the Fermi level in states/eV/f.u.: 6.496
E in eV per atom: -4.447
Space group: No. 62
Formation enthalpy at 0 K in eV per atom: 0.415
Energy above the lowest structure with this stoichiometry in eV/f.u.: 0.55
Crystal system: orthorhombic



Record 4
A plane-wave DFT calculation with PBE was carried out for a relaxed structure of BaSc4.

POSCAR file:
```
BaSc4
1.0
-4.509 4.509 1.812
4.509 -4.509 1.812
4.509 4.509 -1.812
Ba Sc
1 4
Direct
0.000 0.000 0.000
0.158 0.374 0.532
0.374 0.842 0.217
0.626 0.158 0.783
0.842 0.626 0.468
```

Density of states at the Fermi level in states/eV/f.u.: 7.831
E in eV per atom: -5.215
Space group: No. 87
Formation enthalpy at 0 K in eV per atom: 0.235
Energy above the lowest structure with this stoichiometry in eV/f.u.: 0.00
Crystal system: tetragonal



Record 5
A plane-wave DFT calculation with PBE was carried out for a relaxed structure of Ba3Sc.

POSCAR file:
```
Ba3Sc
1.0
5.817 0.000 0.000
0.000 5.817 0.000
0.000 0.000 5.817
Ba Sc
3 1
Direct
0.000 0.000 0.500
0.000 0.500 0.000
0.500 0.000 0.000
0.500 0.500 0.500
```

Density of states at the Fermi level in states/eV/f.u.: 9.072
E in eV per atom: -2.701
Space group: No. 221
Formation enthalpy at 0 K in eV per atom: 0.324
Energy above the lowest structure with this stoichiometry in eV/f.u.: 0.36
Crystal system: cubic



Record 6
A plane-wave DFT calculation with PBE was carried out for a relaxed structure of BaSc2.

POSCAR file:
```
BaSc2
1.0
5.669 0.000 0.000
-2.834 4.909 0.000
0.000 0.000 6.981
Ba Sc
2 4
Direct
0.333 0.667 0.250
0.667 0.333 0.750
0.000 0.000 0.000
0.000 0.000 0.500
0.333 0.667 0.750
0.667 0.333 0.250
```

Density of states at the Fermi level in states/eV/f.u.: 6.384
E in eV per atom: -4.381
Space group: No. 194
Formation enthalpy at 0 K in eV per atom: 0.481
Energy above the lowest structure with this stoichiometry in eV/f.u.: 0.75
Crystal system: hexagonal



Record 7
A plane-wave DFT calculation with PBE was carried out for a relaxed structure of BaSc2.

POSCAR file:
```
BaSc2
1.0
0.000 4.769 4.769
4.769 0.000 4.769
4.769 4.769 0.000
Ba Sc
2 4
Direct
0.125 0.125 0.125
0.875 0.875 0.875
0.000 0.500 0.500
0.500 0.000 0.500
0.500 0.500 0.000
0.500 0.500 0.500
```

Density of states at the Fermi level in states/eV/f.u.: 6.846
E in eV per atom: -4.459
Space group: No. 227
Formation enthalpy at 0 K in eV per atom: 0.403
Energy above the lowest structure with this stoichiometry in eV/f.u.: 0.51
Crystal system: cubic



Record 8
A plane-wave DFT calculation with PBE was carried out for a relaxed structure of Ba3Sc.

POSCAR file:
```
Ba3Sc
1.0
-3.247 3.247 4.605
3.247 -3.247 4.605
3.247 3.247 -4.605
Ba Sc
3 1
Direct
0.000 0.000 0.000
0.250 0.750 0.500
0.750 0.250 0.500
0.500 0.500 0.000
```

Density of states at the Fermi level in states/eV/f.u.: 5.318
E in eV per atom: -2.729
Space group: No. 139
Formation enthalpy at 0 K in eV per atom: 0.296
Energy above the lowest structure with this stoichiometry in eV/f.u.: 0.25
Crystal system: tetragonal